## Ca16Sb11 (GGA-PBEsol)

Data for a relaxed Ca16Sb11 crystal.

abc: 12.0965 12.0965 11.1829
angles: 90.00 90.00 90.00
Space group P-42_1m (No. 113)
Asymmetric unit:
Ca 0.0000 0.5000 0.1428 (multiplicity 2)
Ca 0.0000 0.5000 0.7825 (multiplicity 2)
Ca 0.0684 0.2056 0.3127 (multiplicity 8)
Ca 0.0738 0.2098 0.7092 (multiplicity 8)
Ca 0.0875 0.7922 0.9990 (multiplicity 8)
Ca 0.1374 0.6374 0.5008 (multiplicity 4)
Sb 0.0000 0.0000 0.1512 (multiplicity 4)
Sb 0.0000 0.0000 0.5000 (multiplicity 2)
Sb 0.1233 0.3767 0.5112 (multiplicity 4)
Sb 0.1452 0.3548 0.9671 (multiplicity 4)
Sb 0.1662 0.6662 0.2358 (multiplicity 4)
Sb 0.1805 0.6805 0.7631 (multiplicity 4)

Calculated total energy   -112.61 eV/f.u.
Volume   1636 Å³/cell
E_form (uncorrected)   -28.347 eV/f.u.

## TlSb2Mo (GGA-PBEsol)

Data for a relaxed TlSb2Mo crystal.

abc: 3.3065 3.3065 30.6628
angles: 90.00 90.00 120.00
Space group R-3m (No. 166, hexagonal axes)
Asymmetric unit:
Tl 0.0000 0.0000 0.0000 (multiplicity 3)
Sb 0.0000 0.0000 0.2313 (multiplicity 6)
Mo 0.0000 0.0000 0.5000 (multiplicity 3)

Calculated total energy   -23.11 eV/f.u.
Volume   290 Å³/cell
E_form (uncorrected)   0.403 eV/f.u.
Energy above the lowest structure with this stoichiometry   0.000 eV/atom

## NaSr2RuF (GGA-PBEsol)

Data for a relaxed NaSr2RuF crystal.

abc: 5.0733 5.0733 4.2806
angles: 90.00 90.00 90.00
Space group P4/mmm (No. 123)
Asymmetric unit:
Na 0.0000 0.0000 0.0000 (multiplicity 1)
Sr 0.0000 0.5000 0.5000 (multiplicity 2)
Ru 0.5000 0.5000 0.0000 (multiplicity 1)
F 0.0000 0.0000 0.5000 (multiplicity 1)

Calculated total energy   -20.46 eV/f.u.
Volume   110 Å³/cell
E_form (uncorrected)   -3.276 eV/f.u.

## Cd3NiP (GGA-PBEsol)

Data for a relaxed Cd3NiP crystal.

abc: 4.9026 4.9026 4.9026
angles: 90.00 90.00 90.00
Space group Pm-3m (No. 221)
Asymmetric unit:
Cd 0.0000 0.0000 0.5000 (multiplicity 3)
Ni 0.5000 0.5000 0.5000 (multiplicity 1)
P 0.0000 0.0000 0.0000 (multiplicity 1)

Calculated total energy   -11.10 eV/f.u.
Volume   118 Å³/cell

## Y5PPb3 (GGA-PBEsol)

Data for a relaxed Y5PPb3 crystal.

abc: 9.0284 9.0284 6.6845
angles: 90.00 90.00 120.00
Space group P6_3/mcm (No. 193)
Asymmetric unit:
Y 0.0000 0.2385 0.2500 (multiplicity 6)
Y 0.3333 0.6667 0.0000 (multiplicity 4)
P 0.0000 0.0000 0.0000 (multiplicity 2)
Pb 0.0000 0.4000 0.7500 (multiplicity 6)

Calculated total energy   -60.18 eV/f.u.
Volume   472 Å³/cell

## Cr3P6WO24 (GGA-PBEsol)

Data for a relaxed Cr3P6WO24 crystal.

abc: 8.3524 8.3524 21.5988
angles: 90.00 90.00 120.00
Space group R3 (No. 146, hexagonal axes)
Asymmetric unit:
Cr 0.0000 0.0000 0.0000 (multiplicity 3)
Cr 0.0000 0.0000 0.2154 (multiplicity 3)
Cr 0.0000 0.0000 0.7116 (multiplicity 3)
P 0.0476 0.3771 0.2760 (multiplicity 9)
P 0.0616 0.6736 0.7716 (multiplicity 9)
W 0.0000 0.0000 0.4965 (multiplicity 3)
O 0.0093 0.1893 0.5484 (multiplicity 9)
O 0.0632 0.8562 0.0504 (multiplicity 9)
O 0.0685 0.8567 0.7615 (multiplicity 9)
O 0.1488 0.6685 0.1133 (multiplicity 9)
O 0.1555 0.6788 0.8325 (multiplicity 9)
O 0.1562 0.4875 0.9339 (multiplicity 9)
O 0.1864 0.4571 0.6172 (multiplicity 9)
O 0.1874 0.4581 0.3288 (multiplicity 9)

Calculated total energy   -275.57 eV/f.u.
Volume   1305 Å³/cell
E_form (uncorrected)   -70.308 eV/f.u.

## TlZnRu2 (GGA-PBEsol)

Data for a relaxed TlZnRu2 crystal.

abc: 5.5291 8.9125 2.8326
angles: 90.00 116.95 90.00
Space group C2/m (No. 12)
Asymmetric unit:
Tl 0.0000 0.0000 0.0000 (multiplicity 2)
Zn 0.0000 0.5000 0.0000 (multiplicity 2)
Ru 0.2500 0.2500 0.5000 (multiplicity 4)

Calculated total energy   -22.36 eV/f.u.
Volume   124 Å³/cell
Energy above the lowest structure with this stoichiometry   0.295 eV/atom

## SrSn2As2 (GGA-PBEsol)

Data for a relaxed SrSn2As2 crystal.

abc: 4.2128 4.2128 26.4117
angles: 90.00 90.00 120.00
Space group R-3m (No. 166, hexagonal axes)
Asymmetric unit:
Sr 0.0000 0.0000 0.0000 (multiplicity 3)
Sn 0.0000 0.0000 0.2083 (multiplicity 6)
As 0.0000 0.0000 0.4071 (multiplicity 6)

Calculated total energy   -23.34 eV/f.u.
Volume   406 Å³/cell

## SbPd2Br (GGA-PBEsol)

Data for a relaxed SbPd2Br crystal.

abc: 6.7114 6.7114 7.9439
angles: 90.00 90.00 90.00
Space group I-42d (No. 122)
Asymmetric unit:
Sb 0.0000 0.0000 0.0000 (multiplicity 4)
Pd 0.2403 0.2500 0.1250 (multiplicity 8)
Br 0.0000 0.0000 0.5000 (multiplicity 4)

Calculated total energy   -18.50 eV/f.u.
Volume   358 Å³/cell
E_form (uncorrected)   -0.157 eV/f.u.

## LaBi2IO4 (GGA-PBEsol)

Data for a relaxed LaBi2IO4 crystal.

abc: 3.9873 3.9873 9.5784
angles: 90.00 90.00 90.00
Space group P4/mmm (No. 123)
Asymmetric unit:
La 0.0000 0.0000 0.0000 (multiplicity 1)
Bi 0.5000 0.5000 0.2660 (multiplicity 2)
I 0.0000 0.0000 0.5000 (multiplicity 1)
O 0.0000 0.5000 0.1551 (multiplicity 4)

Calculated total energy   -52.15 eV/f.u.
Volume   152 Å³/cell
E_form (uncorrected)   -15.470 eV/f.u.

## In3TeRu (GGA-PBEsol)

Data for a relaxed In3TeRu crystal.

abc: 5.5227 5.5227 5.5227
angles: 90.00 90.00 90.00
Space group Pm-3m (No. 221)
Asymmetric unit:
In 0.0000 0.0000 0.5000 (multiplicity 3)
Te 0.0000 0.0000 0.0000 (multiplicity 1)
Ru 0.5000 0.5000 0.5000 (multiplicity 1)

Calculated total energy   -14.89 eV/f.u.
Volume   168 Å³/cell
E_form (uncorrected)   7.761 eV/f.u.

## Ba2FeAg (GGA-PBEsol)

Data for a relaxed Ba2FeAg crystal.

abc: 4.6155 4.7525 11.7097
angles: 90.00 90.00 90.00
Space group Amm2 (No. 38)
Asymmetric unit:
Ba 0.0000 0.0000 0.0000 (multiplicity 2)
Ba 0.5000 0.0000 0.2905 (multiplicity 2)
Fe 0.0000 0.0000 0.6920 (multiplicity 2)
Ag 0.5000 0.0000 0.5931 (multiplicity 2)

Calculated total energy   -15.20 eV/f.u.
Volume   257 Å³/cell
Energy above the lowest structure with this stoichiometry   0.053 eV/atom